Density functional theory data (PBE) for NbSn2Rh3 after structural relaxation.

Lattice parameters (Å, degrees): 4.2672 7.7632 7.7632 114.12 105.96 105.96
Closest atoms and distances in Å follow each position.
Fractional coordinates of all 12 atoms:
Sn 0.2500 0.7240 0.2760  8 Rh 2.75-3.06, 2 Nb 2.96
Sn 0.7500 0.9073 0.0927  8 Rh 2.71-2.78
Sn 0.7500 0.2760 0.7240  8 Rh 2.75-3.06, 2 Nb 2.96
Sn 0.2500 0.0927 0.9073  8 Rh 2.71-2.78
Nb 0.2500 0.4333 0.5667  8 Rh 2.74-3.00, 2 Nb 2.75, 2 Sn 2.96
Nb 0.7500 0.5667 0.4333  8 Rh 2.74-3.00, 2 Nb 2.75, 2 Sn 2.96
Rh 0.4777 0.1491 0.3060  4 Sn 2.71-2.78, 3 Nb 2.74-2.92, 2 Rh 2.95
Rh 0.9777 0.3060 0.1491  4 Sn 2.71-2.78, 3 Nb 2.74-2.92, 2 Rh 2.95
Rh 0.0223 0.6940 0.8509  4 Sn 2.71-2.78, 3 Nb 2.74-2.92, 2 Rh 2.95
Rh 0.5223 0.8509 0.6940  4 Sn 2.71-2.78, 3 Nb 2.74-2.92, 2 Rh 2.95
Rh 0.0000 0.0000 0.5000  6 Sn 2.74-2.83, 2 Nb 3.00
Rh 0.5000 0.5000 0.0000  6 Sn 2.74-2.83, 2 Nb 3.00

Summary:
Its crystal system is orthorhombic. The energy relative to the elements comes out at -2.5 eV per formula unit. The calculation puts the density of states at the Fermi level at 5.58 states/eV/cell. The volume comes out at 202.5 Å³ per cell.